Entry from Alexandria: an optimized crystal structure of MgBOF2 (PBE-GGA).

Cell lengths 4.3783, 4.3783, 2.6791 Å; angles 90.00, 90.00, 90.00 degrees
Fractional coordinates of all 5 atoms:
Mg: 0.0000 0.0000 0.0000
B: 0.5000 0.5000 0.5000
O: 0.5000 0.5000 0.0000
F: 0.0000 0.5000 0.5000
F: 0.5000 0.0000 0.5000

Results
Raw formation energy = -1.617 eV/atom
Calculated volume = 51.4 Å³/f.u.
ΔE to the lowest computed polymorph = 0.00 eV/f.u.
Crystal system = tetragonal
Symmetry = P4/mmm (123)
Energy = -5.012 eV per atom
Density of states at the Fermi level = 1.28 states/eV per cell